This record from Alexandria via LeMat-Bulk describes DyCd4Rh after structural relaxation. The functional is PBE-GGA.

- ΔE_f: -0.28 eV per atom
- Density: 8.97 g/cm3
- D(E_F): 2.7 states/eV/f.u.

Geometry as extended XYZ:
```
12
Lattice="6.776 -0.257 -2.378 -0.491 5.410 -1.986 -2.332 -0.289 8.214" Properties=species:S:1:pos:R:3 pbc="T T T"
Dy 4.819 3.950 1.146
Dy -0.866 0.914 2.705
Cd 2.547 4.367 -1.361
Cd 2.952 1.205 2.551
Cd 1.406 0.497 5.212
Cd 2.792 1.666 -0.370
Cd 1.000 3.660 1.300
Cd -0.369 4.064 -1.492
Cd -0.122 1.346 -0.494
Cd 1.161 3.198 4.221
Rh -1.066 1.847 5.297
Rh 5.018 3.017 -1.446
```